K4HfU3Se8 GGA-PBE optimized geometry; DOS(E_F) = 0.901 states/eV/atom; uncorrected energy = -95.8 eV per cell
1.0
-2.638 -7.395 2.505
6.120 -4.030 -5.451
2.907 5.416 5.492
Se U K Hf
8 3 4 1
Direct
0.752 0.705 0.979 Se
0.738 0.714 0.476 Se
0.774 0.295 0.021 Se
0.226 0.705 0.453 Se
0.774 0.295 0.547 Se
0.248 0.295 0.021 Se
0.226 0.705 0.979 Se
0.262 0.286 0.524 Se
0.500 0.500 0.500 U
0.000 0.500 0.500 U
0.500 0.500 0.000 U
0.500 0.000 0.500 K
0.000 0.000 0.000 K
0.500 0.000 0.000 K
0.000 0.000 0.500 K
0.000 0.500 0.000 Hf